# 1
## Y8Er3Th3 (PBE-GGA)

Data for a geometry-optimized Y8Er3Th3 structure.

Computed properties:
- Formation energy: 163 meV per atom

a b c (Å): 5.6730 9.6276 9.6276
angles (deg): 102.29 72.87 72.87
Closest atoms and distances in Å follow each position.
Positions (direct):
Y: 0.8398 0.7627 0.5577  5 Y 3.07-3.42
Y: 0.3418 0.4357 0.8804  6 Y 3.26-3.55, 2 Th 3.59
Y: 0.8398 0.5577 0.7627  5 Y 3.07-3.42
Y: 0.3418 0.8804 0.4357  6 Y 3.26-3.55, 2 Th 3.59
Y: 0.1602 0.4423 0.2373  5 Y 3.07-3.42
Y: 0.6582 0.1196 0.5643  6 Y 3.26-3.55, 2 Th 3.59
Y: 0.1602 0.2373 0.4423  5 Y 3.07-3.42
Y: 0.6582 0.5643 0.1196  6 Y 3.26-3.55, 2 Th 3.59
Th: 0.0000 0.1833 0.8167  2 Er 3.43, 8 Y 3.59-3.69
Th: 0.5000 0.0000 0.0000  4 Er 3.50
Th: 0.0000 0.8167 0.1833  2 Er 3.43, 8 Y 3.59-3.69
Er: 0.1927 0.8074 0.8074  1 Er 3.28, 4 Th 3.43-3.50, 4 Y 3.59
Er: 0.8073 0.1926 0.1926  1 Er 3.28, 4 Th 3.43-3.50, 4 Y 3.59
Er: 0.5000 0.5000 0.5000  2 Er 3.28, 8 Y 3.65

***

# 2
## LiMgHg (PBE-GGA)

Data for a geometry-optimized LiMgHg structure.

Computed properties:
- Energy above the lowest structure with this stoichiometry: 0.039 eV/atom
- Formation energy: -236 meV per atom

a b c (Å): 4.6840 4.6840 3.1541
angles (deg): 90.00 90.00 120.00
Closest atoms and distances in Å follow each position.
Positions (direct):
Hg: 0.0000 0.0000 0.1276  3 Li 2.72
Li: 0.6667 0.3333 0.2041  3 Hg 2.72
Mg: 0.3333 0.6667 0.6683  6 Hg 3.07-3.20, 6 Li 3.08-3.19, 2 Mg 3.15

***

# 3
## CaSi4Ni4 (PBE-GGA)

Data for a geometry-optimized CaSi4Ni4 structure.

Computed properties:
- Uncorrected formation energy: -0.537 eV per atom

a b c (Å): 4.3202 7.8751 7.8751
angles (deg): 90.00 90.00 90.00
Closest atoms and distances in Å follow each position.
Positions (direct):
Ni: 0.5000 0.8280 0.3110  5 Si 2.28-2.43
Ni: 0.0000 0.1890 0.3280  5 Si 2.28-2.43
Ni: 0.5000 0.6890 0.8280  5 Si 2.28-2.43
Ni: 0.0000 0.8110 0.6720  5 Si 2.28-2.43
Ni: 0.5000 0.3110 0.1720  5 Si 2.28-2.43
Ni: 0.0000 0.3280 0.8110  5 Si 2.28-2.43
Ni: 0.0000 0.6720 0.1890  5 Si 2.28-2.43
Ni: 0.5000 0.1720 0.6890  5 Si 2.28-2.43
Si: 0.0000 0.3861 0.1147  5 Ni 2.28-2.43, 1 Si 2.55
Si: 0.0000 0.6139 0.8853  5 Ni 2.28-2.43, 1 Si 2.55
Si: 0.0000 0.1147 0.6139  5 Ni 2.28-2.43, 1 Si 2.55
Si: 0.5000 0.6147 0.1139  5 Ni 2.28-2.43, 1 Si 2.55
Si: 0.5000 0.3853 0.8861  5 Ni 2.28-2.43, 1 Si 2.55
Si: 0.5000 0.8861 0.6147  5 Ni 2.28-2.43, 1 Si 2.55
Si: 0.0000 0.8853 0.3861  5 Ni 2.28-2.43, 1 Si 2.55
Si: 0.5000 0.1139 0.3853  5 Ni 2.28-2.43, 1 Si 2.55
Ca: 0.5000 0.5000 0.5000  4 Ni 2.98, 4 Si 3.17
Ca: 0.0000 0.0000 0.0000  4 Ni 2.98, 4 Si 3.17

***

# 4
## InSiCl (PBE-GGA)

Data for a geometry-optimized InSiCl structure.

Computed properties:
- Uncorrected formation energy: -0.299 eV per atom

a b c (Å): 6.6359 3.9922 12.1302
angles (deg): 90.00 98.36 90.00
Closest atoms and distances in Å follow each position.
Positions (direct):
Cl: 0.9786 0.5000 0.4516  4 In 2.87-3.06
Cl: 0.9786 0.0000 0.9516  4 In 2.87-3.06
Cl: 0.3288 0.5000 0.1407  1 Si 2.17
Cl: 0.3288 0.0000 0.6407  1 Si 2.17
Si: 0.7843 0.0000 0.2152  2 Si 2.39, 1 In 2.64
Si: 0.6505 0.5000 0.1243  1 Cl 2.17, 2 Si 2.39
Si: 0.6505 0.0000 0.6243  1 Cl 2.17, 2 Si 2.39
Si: 0.7843 0.5000 0.7152  2 Si 2.39, 1 In 2.64
In: 0.6271 0.0000 0.4030  2 Si 2.64-2.67
In: 0.1663 0.5000 0.8301  1 Si 2.71, 2 Cl 2.87
In: 0.6271 0.5000 0.9030  2 Si 2.64-2.67
In: 0.1663 0.0000 0.3301  1 Si 2.71, 2 Cl 2.87

***

DOS at the Fermi energy (states/eV per cell)
23.32; 1.05; 4.87; 0.23
Volume (Å³ per cell)
453.6; 59.9; 267.9; 317.9